Here is crystalline MgTc2Te at its relaxed geometry from Alexandria. Energies are from PBE-GGA.

Geometry as extended XYZ:
```
4
Lattice="4.586 0.000 0.000 0.000 3.125 -0.377 0.000 0.565 4.684" Properties=species:S:1:pos:R:3 pbc="T T T"
Tc 2.293 1.292 0.863
Tc 0.000 2.753 -0.180
Mg 2.293 3.140 3.030
Te 0.000 1.475 2.373
```

Calculated values
ΔE_f (raw) (eV per atom): 0.3245
SG: No. 25
E above lowest polymorph (meV/atom): 188
Calculated total energy (eV per cell): -24.2